[1]
{
  "formula": "PmHfIrO6",
  "functional": "GGA-PBE",
  "state": "optimized geometry",
  "volume_a3_per_cell": 242.2,
  "spacegroup": "P4_2nm, No. 102",
  "raw_formation_energy_kj_per_mol_atoms": -220.8,
  "cell": [[-2.628, -1.540, -3.905], [-1.822, -3.732, 2.698], [-7.539, 5.718, 2.818]],
  "species": ["Pm", "Pm", "Hf", "Hf", "Ir", "Ir", "O", "O", "O", "O", "O", "O", "O", "O", "O", "O", "O", "O"],
  "frac_coords": [[0.500, 0.500, 0.507], [0.000, 0.000, 0.007], [0.500, 0.500, 0.167], [0.000, 0.000, 0.667], [0.500, 0.500, 0.832], [0.000, 0.000, 0.332], [0.174, 0.826, 0.492], [0.826, 0.174, 0.492], [0.326, 0.326, 0.992], [0.674, 0.674, 0.992], [0.207, 0.793, 0.188], [0.793, 0.207, 0.188], [0.293, 0.293, 0.688], [0.707, 0.707, 0.688], [0.780, 0.220, 0.816], [0.220, 0.780, 0.816], [0.720, 0.720, 0.316], [0.280, 0.280, 0.316]]
}

=====

[2]
{
  "formula": "HfIrPtO2",
  "functional": "GGA-PBE",
  "state": "optimized geometry",
  "volume_a3_per_cell": 87.9,
  "spacegroup": "P4/mmm, No. 123",
  "raw_formation_energy_kj_per_mol_atoms": -70.9,
  "cell": [[-3.581, 1.233, 0.976], [-2.270, -4.722, -2.363], [0.295, -1.857, 3.429]],
  "species": ["Ir", "Hf", "O", "O", "Pt"],
  "frac_coords": [[0.500, 0.500, 0.500], [0.000, 0.000, 0.000], [0.000, 0.000, 0.500], [0.500, 0.000, 0.000], [0.000, 0.500, 0.000]]
}

=====

[3]
{
  "formula": "RbHfIrO6",
  "functional": "GGA-PBE",
  "state": "optimized geometry",
  "volume_a3_per_cell": 160.8,
  "spacegroup": "P312, No. 149",
  "raw_formation_energy_kj_per_mol_atoms": -160.3,
  "cell": [[-2.414, -4.617, -1.454], [-1.528, -3.559, 3.776], [-5.661, 2.838, 0.385]],
  "species": ["Rb", "Hf", "Ir", "O", "O", "O", "O", "O", "O"],
  "frac_coords": [[0.000, 0.000, 0.000], [0.667, 0.667, 0.500], [0.333, 0.333, 0.500], [0.022, 0.378, 0.326], [0.378, 0.022, 0.674], [0.600, 0.378, 0.674], [0.022, 0.601, 0.674], [0.378, 0.601, 0.326], [0.600, 0.022, 0.326]]
}

=====

| no. | M_tot (μB/f.u.) | raw total energy (eV per atom) |
| --- | --- | --- |
| 1 | 1.81 | -8.21 |
| 2 | 2.06 | -7.69 |
| 3 | 1.91 | -7.16 |